[1]
## Sc2Ru (GGA-PBEsol)

Data for Sc2Ru after structural relaxation.

Values from the calculation:
The value obtained for the formation energy from the elements is -0.3619 eV per atom. For the density of states at the Fermi level, the calculation gives 22.807 states/eV/cell. The calculated volume comes out at 441.10 Å³/cell. The space-group type is No. 227. The calculation puts the uncorrected energy at -8.156 eV/atom. The crystal system is cubic.

Cell: 8.544 8.544 8.544 Å, 60.00 60.00 60.00°
Fractional positions:
1 Sc 0.811 0.811 0.189
2 Sc 0.061 0.439 0.061
3 Sc 0.439 0.439 0.061
4 Sc 0.189 0.811 0.189
5 Sc 0.625 0.625 0.125
6 Sc 0.811 0.189 0.189
7 Sc 0.189 0.189 0.811
8 Sc 0.189 0.811 0.811
9 Sc 0.439 0.061 0.439
10 Sc 0.125 0.625 0.625
11 Sc 0.439 0.061 0.061
12 Sc 0.625 0.625 0.625
13 Sc 0.061 0.439 0.439
14 Sc 0.625 0.125 0.625
15 Sc 0.061 0.061 0.439
16 Sc 0.811 0.189 0.811
17 Ru 0.488 0.837 0.837
18 Ru 0.837 0.837 0.837
19 Ru 0.413 0.413 0.762
20 Ru 0.837 0.488 0.837
21 Ru 0.413 0.762 0.413
22 Ru 0.413 0.413 0.413
23 Ru 0.837 0.837 0.488
24 Ru 0.762 0.413 0.413

[2]
## Sc5Pb3 (GGA-PBEsol)

Data for Sc5Pb3 after structural relaxation.

Values from the calculation:
The value obtained for the formation energy from the elements is -0.5358 eV per atom. For the excess energy over the best structure of this formula in the dataset, the calculation gives 0.0 meV/atom. For the density of states at the Fermi level, the calculation gives 9.670 states/eV/cell. The calculated volume comes out at 374.35 Å³/cell. The space-group type is No. 193. The calculation puts the uncorrected energy at -6.163 eV/atom. The crystal system is hexagonal.

Cell: 6.084 8.429 8.429 Å, 120.00 90.00 90.00°
Fractional positions:
1 Sc 0.250 0.000 0.765
2 Sc 0.500 0.333 0.667
3 Sc 0.250 0.235 0.235
4 Sc 0.000 0.667 0.333
5 Sc 0.750 0.765 0.765
6 Sc 0.500 0.667 0.333
7 Sc 0.000 0.333 0.667
8 Sc 0.750 0.000 0.235
9 Sc 0.250 0.765 0.000
10 Sc 0.750 0.235 0.000
11 Pb 0.250 0.606 0.606
12 Pb 0.250 0.000 0.394
13 Pb 0.250 0.394 0.000
14 Pb 0.750 0.394 0.394
15 Pb 0.750 0.000 0.606
16 Pb 0.750 0.606 0.000

[3]
## FeRuPb2 (GGA-PBEsol)

Data for FeRuPb2 after structural relaxation.

Values from the calculation:
The value obtained for the formation energy from the elements is 0.6375 eV per atom. For the density of states at the Fermi level, the calculation gives 5.396 states/eV/cell. The calculated volume comes out at 71.01 Å³/cell. The space-group type is No. 123. The calculation puts the uncorrected energy at -6.146 eV/atom. The crystal system is tetragonal.

Cell: 3.217 4.698 4.698 Å, 90.00 90.00 90.00°
Last column: magnetic moment on the atom in μB.
Fractional positions:
1 Ru 0.500 0.500 0.500  -0.13
2 Pb 0.000 0.500 0.000  -0.05
3 Pb 0.000 0.000 0.500  -0.05
4 Fe 0.500 0.000 0.000  2.27

[4]
## HfTaBr3 (GGA-PBEsol)

Data for HfTaBr3 after structural relaxation.

Values from the calculation:
For the density of states at the Fermi level, the calculation gives 7.626 states/eV/cell. The calculated volume comes out at 136.53 Å³/cell. The space-group type is No. 221. The calculation puts the uncorrected energy at -5.025 eV/atom. The crystal system is cubic.

Cell: 5.149 5.149 5.149 Å, 90.00 90.00 90.00°
Last column: magnetic moment on the atom in μB.
Fractional positions:
1 Ta 0.500 0.500 0.500  2.47
2 Hf 0.000 0.000 0.000  -0.01
3 Br 0.000 0.000 0.500  0.03
4 Br 0.000 0.500 0.000  0.03
5 Br 0.500 0.000 0.000  0.03

[5]
## Lu2AgPt (GGA-PBEsol)

Data for Lu2AgPt after structural relaxation.

Values from the calculation:
The value obtained for the formation energy from the elements is -0.8399 eV per atom. For the density of states at the Fermi level, the calculation gives 2.205 states/eV/cell. The calculated volume comes out at 79.95 Å³/cell. The space-group type is No. 225. The calculation puts the uncorrected energy at -5.845 eV/atom. The crystal system is cubic.

Cell: 4.835 4.835 4.835 Å, 60.00 60.00 60.00°
Fractional positions:
1 Ag 0.500 0.500 0.500
2 Pt 0.000 0.000 0.000
3 Lu 0.750 0.750 0.750
4 Lu 0.250 0.250 0.250

[6]
## LiAlCr2 (GGA-PBEsol)

Data for LiAlCr2 after structural relaxation.

Values from the calculation:
The value obtained for the formation energy from the elements is 0.1332 eV per atom. For the density of states at the Fermi level, the calculation gives 2.769 states/eV/cell. The calculated volume comes out at 51.82 Å³/cell. The space-group type is No. 99. The calculation puts the uncorrected energy at -6.502 eV/atom. The crystal system is tetragonal.

Cell: 2.930 2.930 6.034 Å, 90.00 90.00 90.00°
Last column: magnetic moment on the atom in μB.
Fractional positions:
1 Cr 0.000 0.000 0.037  -0.97
2 Cr 0.500 0.500 0.210  1.22
3 Li 0.000 0.000 0.493  0.00
4 Al 0.500 0.500 0.760  0.00

[7]
## HfGaS2N (GGA-PBEsol)

Data for HfGaS2N after structural relaxation.

Values from the calculation:
For the density of states at the Fermi level, the calculation gives 2.792 states/eV/cell. The calculated volume comes out at 78.91 Å³/cell. The space-group type is No. 123. The calculation puts the uncorrected energy at -6.116 eV/atom. The crystal system is tetragonal.

Cell: 3.589 4.689 4.689 Å, 90.00 90.00 90.00°
Last column: magnetic moment on the atom in μB.
Fractional positions:
1 Ga 0.000 0.000 0.000  -0.01
2 N 0.500 0.000 0.000  0.32
3 Hf 0.500 0.500 0.500  -0.15
4 S 0.000 0.500 0.000  0.06
5 S 0.000 0.000 0.500  0.06

[8]
## RbGaBr4 (GGA-PBEsol)

Data for RbGaBr4 after structural relaxation.

Values from the calculation:
For the density of states at the Fermi level, the calculation gives 0.000 states/eV/cell. The calculated volume comes out at 853.80 Å³/cell. The space-group type is No. 62. The calculation puts the uncorrected energy at -3.144 eV/atom. The crystal system is orthorhombic.

Cell: 7.389 9.873 11.704 Å, 90.00 90.00 90.00°
Fractional positions:
1 Br 0.494 0.669 0.918
2 Br 0.506 0.331 0.082
3 Br 0.750 0.601 0.622
4 Br 0.494 0.831 0.418
5 Br 0.250 0.399 0.378
6 Br 0.750 0.533 0.292
7 Br 0.750 0.967 0.792
8 Br 0.750 0.899 0.122
9 Br 0.006 0.831 0.418
10 Br 0.506 0.169 0.582
11 Br 0.250 0.033 0.208
12 Br 0.250 0.467 0.708
13 Br 0.250 0.101 0.878
14 Br 0.994 0.169 0.582
15 Br 0.994 0.331 0.082
16 Br 0.006 0.669 0.918
17 Rb 0.750 0.330 0.817
18 Rb 0.250 0.830 0.683
19 Rb 0.250 0.670 0.183
20 Rb 0.750 0.170 0.317
21 Ga 0.750 0.692 0.439
22 Ga 0.250 0.192 0.061
23 Ga 0.250 0.308 0.561
24 Ga 0.750 0.808 0.939

[9]
## YNiS2 (GGA-PBEsol)

Data for YNiS2 after structural relaxation.

Values from the calculation:
For the density of states at the Fermi level, the calculation gives 4.258 states/eV/cell. The calculated volume comes out at 65.15 Å³/cell. The space-group type is No. 225. The calculation puts the uncorrected energy at -6.371 eV/atom. The crystal system is cubic.

Cell: 4.517 4.517 4.517 Å, 60.00 60.00 60.00°
Last column: magnetic moment on the atom in μB.
Fractional positions:
1 Ni 0.000 0.000 0.000  0.69
2 Y 0.500 0.500 0.500  0.01
3 S 0.750 0.750 0.750  0.10
4 S 0.250 0.250 0.250  0.10

[10]
## AlRu (GGA-PBEsol)

Data for AlRu after structural relaxation.

Values from the calculation:
The value obtained for the formation energy from the elements is -0.6263 eV per atom. For the density of states at the Fermi level, the calculation gives 1.696 states/eV/cell. The calculated volume comes out at 26.33 Å³/cell. The space-group type is No. 221. The calculation puts the uncorrected energy at -7.758 eV/atom. The crystal system is cubic.

Cell: 2.975 2.975 2.975 Å, 90.00 90.00 90.00°
Fractional positions:
1 Al 0.500 0.500 0.500
2 Ru 0.000 0.000 0.000

[11]
## La3MoAu (GGA-PBEsol)

Data for La3MoAu after structural relaxation.

Values from the calculation:
The value obtained for the formation energy from the elements is 0.8365 eV per atom. For the density of states at the Fermi level, the calculation gives 10.338 states/eV/cell. The calculated volume comes out at 180.54 Å³/cell. The space-group type is No. 221. The calculation puts the uncorrected energy at -5.510 eV/atom. The crystal system is cubic.

Cell: 5.652 5.652 5.652 Å, 90.00 90.00 90.00°
Last column: magnetic moment on the atom in μB.
Fractional positions:
1 La 0.000 0.000 0.500  -0.15
2 La 0.000 0.500 0.000  -0.15
3 La 0.500 0.000 0.000  -0.15
4 Au 0.000 0.000 0.000  -0.04
5 Mo 0.500 0.500 0.500  3.17

[12]
## BaCa3Hg (GGA-PBEsol)

Data for BaCa3Hg after structural relaxation.

Values from the calculation:
The value obtained for the formation energy from the elements is -0.1901 eV per atom. For the density of states at the Fermi level, the calculation gives 6.590 states/eV/cell. The calculated volume comes out at 209.97 Å³/cell. The space-group type is No. 221. The calculation puts the uncorrected energy at -2.013 eV/atom. The crystal system is cubic.

Cell: 5.944 5.944 5.944 Å, 90.00 90.00 90.00°
Fractional positions:
1 Ba 0.500 0.500 0.500
2 Hg 0.000 0.000 0.000
3 Ca 0.500 0.000 0.000
4 Ca 0.000 0.000 0.500
5 Ca 0.000 0.500 0.000